## SnS6Cl2 (PBE)

Data for a relaxed structure of SnS6Cl2.

a b c (Å): 4.2778 8.0805 8.1026
angles (deg): 106.49 91.09 91.12
Last column: nearest neighbours and their distance in Å.
Sites, in units of the cell vectors:
Sn 0.0000 0.0000 0.0000  4 Cl 2.83, 2 S 3.12
S 0.0851 0.2741 0.5282  2 S 2.06-2.09
S 0.0861 0.5290 0.2752  2 S 2.06-2.09
S 0.1451 0.6865 0.6865  2 S 2.09
S 0.8549 0.3135 0.3135  2 S 2.09
S 0.9139 0.4710 0.7248  2 S 2.06-2.09
S 0.9149 0.7259 0.4718  2 S 2.06-2.09
Cl 0.5001 0.1436 0.8575  2 Sn 2.83
Cl 0.4999 0.8564 0.1425  2 Sn 2.83

The uncorrected formation energy comes out at -0.239 eV per atom. As for the spin magnetization: 0.000 μB/f.u.

## SnS3Cl (PBE)

Data for a relaxed structure of SnS3Cl.

a b c (Å): 5.0665 5.0665 5.0665
angles (deg): 90.00 90.00 90.00
Last column: nearest neighbours and their distance in Å.
Sites, in units of the cell vectors:
Sn 0.0000 0.0000 0.0000  6 S 2.53
S 0.0000 0.0000 0.5000  2 Sn 2.53
S 0.0000 0.5000 0.0000  2 Sn 2.53
S 0.5000 0.0000 0.0000  2 Sn 2.53
Cl 0.5000 0.5000 0.5000  12 S 3.58

The uncorrected formation energy comes out at 0.655 eV per atom. As for the spin magnetization: 3.195 μB/f.u.

## SnSCl3 (PBE)

Data for a relaxed structure of SnSCl3.

a b c (Å): 11.1175 11.1175 9.0120
angles (deg): 93.37 93.37 131.41
Last column: nearest neighbours and their distance in Å.
Sites, in units of the cell vectors:
Sn 0.1792 0.8208 0.7500  2 Cl 2.53
Sn 0.2502 0.7498 0.2500  2 Cl 2.55
Sn 0.7498 0.2502 0.7500  2 Cl 2.55
Sn 0.8208 0.1792 0.2500  2 Cl 2.53
S 0.0851 0.1273 0.7739  1 S 1.93, 1 Cl 2.11
S 0.1273 0.0851 0.2739  1 S 1.93, 1 Cl 2.11
S 0.8727 0.9149 0.7261  1 S 1.93, 1 Cl 2.11
S 0.9149 0.8727 0.2261  1 S 1.93, 1 Cl 2.11
Cl 0.1091 0.2918 0.6437  1 S 2.11
Cl 0.1367 0.4618 0.1926  1 Sn 2.55
Cl 0.2222 0.6826 0.5558  1 Sn 2.53
Cl 0.2918 0.1091 0.1437  1 S 2.11
Cl 0.3174 0.7778 0.9442  1 Sn 2.53
Cl 0.4618 0.1367 0.6926  1 Sn 2.55
Cl 0.5382 0.8633 0.3074  1 Sn 2.55
Cl 0.6826 0.2222 0.0558  1 Sn 2.53
Cl 0.7082 0.8909 0.8563  1 S 2.11
Cl 0.7778 0.3174 0.4442  1 Sn 2.53
Cl 0.8633 0.5382 0.8074  1 Sn 2.55
Cl 0.8909 0.7082 0.3563  1 S 2.11

The uncorrected formation energy comes out at -0.639 eV per atom. As for the spin magnetization: 0.000 μB/f.u.

## SnSCl (PBE)

Data for a relaxed structure of SnSCl.

a b c (Å): 3.8845 3.8845 6.4959
angles (deg): 90.00 90.00 120.00
Last column: nearest neighbours and their distance in Å.
Sites, in units of the cell vectors:
Sn 0.0000 0.0000 0.0000  3 S 2.63, 3 Cl 2.87
S 0.6667 0.3333 0.7885  3 Sn 2.63
Cl 0.3333 0.6667 0.2749  3 Sn 2.87

The uncorrected formation energy comes out at -0.501 eV per atom. As for the spin magnetization: 0.000 μB/f.u.

Let's list VASP energy in order: -3.85; -2.99; -3.37; -3.83 eV/atom.